[1]
## SrAg2Au8 (PBE)

Data for an optimized crystal structure of SrAg2Au8.

The formation energy is -0.034 eV/atom. The calculation puts the density of states at the Fermi level at 4.43 states/eV per cell. Its total energy is -0.2270 Ry per atom.

The structure in CIF format:
```
data_SrAg2Au8
_symmetry_space_group_name_H-M 'P 1'
_symmetry_Int_Tables_number 1
_symmetry_space_group_name_Hall 'P 1'
_cell_length_a 5.502
_cell_length_b 5.502
_cell_length_c 9.309
_cell_angle_alpha 90.00
_cell_angle_beta 90.00
_cell_angle_gamma 90.00
loop_
_atom_site_label
_atom_site_type_symbol
_atom_site_fract_x
_atom_site_fract_y
_atom_site_fract_z
Sr1 Sr 0.500 0.500 0.500
Ag1 Ag 0.500 0.000 0.000
Ag2 Ag 0.000 0.500 0.000
Au1 Au 0.751 0.751 0.227
Au2 Au 0.751 0.249 0.773
Au3 Au 0.751 0.751 0.773
Au4 Au 0.751 0.249 0.227
Au5 Au 0.249 0.751 0.227
Au6 Au 0.249 0.751 0.773
Au7 Au 0.249 0.249 0.227
Au8 Au 0.249 0.249 0.773
```



[2]
## Mg2IrCl (PBE)

Data for an optimized crystal structure of Mg2IrCl.

The value obtained for the formation energy from raw total energies is -2.0 eV per formula unit. The calculation puts the density of states at the Fermi level at 1.51 states/eV per cell. Its total energy is -0.2925 Ry per atom.

The structure in CIF format:
```
data_Mg2IrCl
_symmetry_space_group_name_H-M 'P 1'
_symmetry_Int_Tables_number 1
_symmetry_space_group_name_Hall 'P 1'
_cell_length_a 7.962
_cell_length_b 7.962
_cell_length_c 7.962
_cell_angle_alpha 156.54
_cell_angle_beta 156.55
_cell_angle_gamma 33.41
loop_
_atom_site_label
_atom_site_type_symbol
_atom_site_fract_x
_atom_site_fract_y
_atom_site_fract_z
Cl1 Cl 0.462 0.462 0.000
Ir1 Ir 0.197 0.697 0.500
Mg1 Mg 0.062 0.062 0.000
Mg2 Mg 0.779 0.279 0.500
```



[3]
## PmDyI6 (PBE)

Data for an optimized crystal structure of PmDyI6.

The value obtained for the formation energy from raw total energies is -10.7 eV per formula unit. The calculation puts the density of states at the Fermi level at 0.00 states/eV per cell. Its total energy is -0.2697 Ry per atom.

The structure in CIF format:
```
data_PmDyI6
_symmetry_space_group_name_H-M 'P 1'
_symmetry_Int_Tables_number 1
_symmetry_space_group_name_Hall 'P 1'
_cell_length_a 7.695
_cell_length_b 7.695
_cell_length_c 8.253
_cell_angle_alpha 62.23
_cell_angle_beta 62.22
_cell_angle_gamma 60.00
loop_
_atom_site_label
_atom_site_type_symbol
_atom_site_fract_x
_atom_site_fract_y
_atom_site_fract_z
Pm1 Pm 0.000 0.000 0.000
Dy1 Dy 0.500 0.500 0.500
I1 I 0.093 0.414 0.747
I2 I 0.746 0.093 0.747
I3 I 0.586 0.254 0.253
I4 I 0.254 0.907 0.253
I5 I 0.907 0.586 0.253
I6 I 0.414 0.746 0.747
```



[4]
## Tl2PbI2Cl2 (PBE)

Data for an optimized crystal structure of Tl2PbI2Cl2.

The value obtained for the formation energy from raw total energies is -5.8 eV per formula unit. The calculation puts the density of states at the Fermi level at 0.00 states/eV per cell. Its total energy is -0.2210 Ry per atom.

The structure in CIF format:
```
data_Tl2PbI2Cl2
_symmetry_space_group_name_H-M 'P 1'
_symmetry_Int_Tables_number 1
_symmetry_space_group_name_Hall 'P 1'
_cell_length_a 5.621
_cell_length_b 5.621
_cell_length_c 9.866
_cell_angle_alpha 106.55
_cell_angle_beta 106.55
_cell_angle_gamma 90.00
loop_
_atom_site_label
_atom_site_type_symbol
_atom_site_fract_x
_atom_site_fract_y
_atom_site_fract_z
Tl1 Tl 0.364 0.364 0.729
Tl2 Tl 0.636 0.636 0.271
Pb1 Pb 0.000 0.000 0.000
I1 I 0.178 0.178 0.357
I2 I 0.822 0.822 0.643
Cl1 Cl 0.000 0.500 0.000
Cl2 Cl 0.500 0.000 0.000
```



[5]
## LiBiMoAu2 (PBE)

Data for an optimized crystal structure of LiBiMoAu2.

The formation energy is 1.097 eV/atom. The calculation puts the density of states at the Fermi level at 2.31 states/eV per cell. Its total energy is -0.2601 Ry per atom.

The structure in CIF format:
```
data_LiBiMoAu2
_symmetry_space_group_name_H-M 'P 1'
_symmetry_Int_Tables_number 1
_symmetry_space_group_name_Hall 'P 1'
_cell_length_a 5.400
_cell_length_b 5.400
_cell_length_c 4.978
_cell_angle_alpha 90.00
_cell_angle_beta 90.00
_cell_angle_gamma 90.00
loop_
_atom_site_label
_atom_site_type_symbol
_atom_site_fract_x
_atom_site_fract_y
_atom_site_fract_z
Mo1 Mo 0.500 0.500 0.500
Au1 Au 0.000 0.500 0.000
Au2 Au 0.500 0.000 0.000
Bi1 Bi 0.000 0.000 0.000
Li1 Li 0.000 0.000 0.500
```



[6]
## SrTaCdRu2 (PBE)

Data for an optimized crystal structure of SrTaCdRu2.

The formation energy is 2.430 eV/atom. The calculation puts the density of states at the Fermi level at 6.20 states/eV per cell. Its total energy is -0.3065 Ry per atom.

The structure in CIF format:
```
data_SrTaCdRu2
_symmetry_space_group_name_H-M 'P 1'
_symmetry_Int_Tables_number 1
_symmetry_space_group_name_Hall 'P 1'
_cell_length_a 4.715
_cell_length_b 5.180
_cell_length_c 4.715
_cell_angle_alpha 90.00
_cell_angle_beta 90.00
_cell_angle_gamma 90.00
loop_
_atom_site_label
_atom_site_type_symbol
_atom_site_fract_x
_atom_site_fract_y
_atom_site_fract_z
Ru1 Ru 0.000 0.000 0.500
Ru2 Ru 0.500 0.000 0.000
Cd1 Cd 0.000 0.500 0.000
Sr1 Sr 0.000 0.000 0.000
Ta1 Ta 0.500 0.500 0.500
```